No. 1
# Mg2Be2ZnNi5

Crystalline Mg2Be2ZnNi5 at its relaxed geometry (PBE, Alexandria).

## Properties
ΔH_f (0 K), eV per atom: -0.274
Space group: P4/mbm (127)
Fermi-level density of states, states/eV per cell: 6.21

Cell and atoms, written as extended XYZ:
```
20
Lattice="-1.103 -1.871 2.288 5.481 -6.239 -2.460 5.984 3.115 5.432" Properties=species:S:1:pos:R:3 pbc="T T T"
Be 2.802 -1.983 -0.271
Be 8.663 -1.141 3.243
Be 4.385 1.178 3.077
Be 7.080 -4.302 -0.105
Ni 3.530 -2.736 1.639
Ni 2.440 0.622 3.860
Ni 6.832 -2.259 3.620
Ni 1.027 -2.053 0.990
Ni 5.941 -4.041 1.734
Ni 4.531 1.089 5.249
Ni 2.189 -4.055 -0.086
Ni 5.831 -6.084 0.011
Ni 4.421 -0.954 3.526
Ni 9.335 -2.941 4.269
Mg 4.756 -3.669 -0.708
Mg 2.903 -0.087 1.328
Mg 8.561 -3.036 1.643
Mg 6.709 0.545 3.679
Zn 5.732 -1.562 1.486
Zn 0.000 0.000 0.000
```

***

No. 2
# Sc3ZnRe

Crystalline Sc3ZnRe at its relaxed geometry (PBE, Alexandria).

## Properties
ΔH_f (0 K), eV per atom: 0.340
Space group: Pm-3m (221)
Fermi-level density of states, states/eV per cell: 5.00
ΔE to the lowest computed polymorph, kJ/mol of atoms: 0.00

Cell and atoms, written as extended XYZ:
```
5
Lattice="-3.831 -3.052 1.202 -0.788 -0.939 -4.892 3.184 -3.904 0.237" Properties=species:S:1:pos:R:3 pbc="T T T"
Re 0.000 0.000 0.000
Sc 1.592 -1.952 0.118
Sc -0.394 -0.469 -2.446
Sc -1.916 -1.526 0.601
Zn -0.717 -3.947 -1.727
```

***

No. 3
# ZrTi2Ag2

Crystalline ZrTi2Ag2 at its relaxed geometry (PBE, Alexandria).

## Properties
ΔH_f (0 K), eV per atom: 0.171
Space group: P4/mbm (127)
Fermi-level density of states, states/eV per cell: 13.88
ΔE to the lowest computed polymorph, kJ/mol of atoms: 0.00

Cell and atoms, written as extended XYZ:
```
10
Lattice="-4.019 -4.881 -4.768 4.997 -5.873 1.801 -1.757 -0.792 2.292" Properties=species:S:1:pos:R:3 pbc="T T T"
Ag -1.888 -3.774 -2.752
Ag 2.867 -6.981 -0.215
Ag 1.381 -2.814 0.086
Ag -0.403 -7.941 -3.054
Ti -2.569 -6.342 -2.205
Ti 0.540 -8.538 -0.581
Ti 1.791 -5.205 1.530
Ti -1.318 -3.009 -0.095
Zr 0.000 0.000 0.000
Zr 0.489 -5.377 -1.484
```

***

No. 4
# In2Si2Pb

Crystalline In2Si2Pb at its relaxed geometry (PBE, Alexandria).

## Properties
Space group: P4/mbm (127)
Fermi-level density of states, states/eV per cell: 5.11
ΔE to the lowest computed polymorph, kJ/mol of atoms: 6.49
Formation energy (no corrections), eV/atom: 0.362

Cell and atoms, written as extended XYZ:
```
10
Lattice="-5.583 -1.434 5.951 3.052 -7.634 1.023 2.171 1.179 2.321" Properties=species:S:1:pos:R:3 pbc="T T T"
Pb 0.000 0.000 0.000
Pb -1.266 -4.534 3.487
In 2.239 -4.563 2.699
In 0.075 -6.849 5.885
In -0.435 -1.040 3.411
In -2.599 -3.327 6.596
Si 0.252 -2.902 1.239
Si -3.165 -2.055 4.005
Si 0.634 -7.013 2.970
Si -2.783 -6.166 5.736
```

***

No. 5
# CaSi2Ru

Crystalline CaSi2Ru at its relaxed geometry (PBE, Alexandria).

## Properties
Space group: Imm2 (44)
Fermi-level density of states, states/eV per cell: 2.53
Formation energy (no corrections), eV/atom: 0.043

Cell and atoms, written as extended XYZ:
```
4
Lattice="-4.689 2.798 -0.535 -3.852 -0.503 3.875 5.148 1.457 -1.216" Properties=species:S:1:pos:R:3 pbc="T T T"
Si -8.442 2.269 3.301
Si -1.190 0.971 2.048
Ca -4.337 1.165 1.696
Ru -2.235 2.790 0.089
```

***

No. 6
# CsVTe3Pd

Crystalline CsVTe3Pd at its relaxed geometry (PBE, Alexandria).

## Properties
Space group: P2_1/m (11)
Fermi-level density of states, states/eV per cell: 8.31
Formation energy (no corrections), eV/atom: -0.540

Cell and atoms, written as extended XYZ:
```
12
Lattice="-0.786 2.608 2.862 -9.136 -3.054 0.275 7.472 -4.890 6.508" Properties=species:S:1:pos:R:3 pbc="T T T"
Te -7.598 -1.370 3.252
Te -3.888 -3.766 3.728
Te -4.064 -0.086 3.053
Te 5.148 -3.967 6.392
Te 1.438 -1.571 5.917
Te 1.614 -5.251 6.592
Cs -0.517 -1.468 2.559
Cs -1.932 -3.869 7.086
V 2.920 -2.968 7.597
V -5.369 -2.368 2.048
Pd -6.080 -2.752 4.929
Pd 3.630 -2.585 4.716
```

***

No. 7
# PIrW

Crystalline PIrW at its relaxed geometry (PBE, Alexandria).

## Properties
ΔH_f (0 K), eV per atom: 0.273
Space group: F-43m (216)
Fermi-level density of states, states/eV per cell: 3.03
ΔE to the lowest computed polymorph, kJ/mol of atoms: 40.37

Cell and atoms, written as extended XYZ:
```
3
Lattice="0.000 2.948 2.948 2.948 0.000 2.948 2.948 2.948 0.000" Properties=species:S:1:pos:R:3 pbc="T T T"
W 2.948 2.948 2.948
Ir 1.474 1.474 1.474
P 0.000 0.000 0.000
```

***

No. 8
# NaCuNF2

Crystalline NaCuNF2 at its relaxed geometry (PBE, Alexandria).

## Properties
Space group: P4/mmm (123)
Fermi-level density of states, states/eV per cell: 1.33
ΔE to the lowest computed polymorph, kJ/mol of atoms: 0.00
Formation energy (no corrections), eV/atom: -0.775

Cell and atoms, written as extended XYZ:
```
5
Lattice="-2.285 -3.181 1.539 3.512 -2.250 0.564 0.345 1.388 3.382" Properties=species:S:1:pos:R:3 pbc="T T T"
Cu 0.000 0.000 0.000
Na 0.786 -2.022 2.743
F 1.756 -1.125 0.282
F -1.143 -1.591 0.769
N 0.173 0.694 1.691
```

***

No. 9
# ErFe2H8

Crystalline ErFe2H8 at its relaxed geometry (PBE, Alexandria).

## Properties
E, eV/atom: -4.5414
Space group: Cm (8)
Fermi-level density of states, states/eV per cell: 2.87

Cell and atoms, written as extended XYZ:
```
11
Lattice="-3.099 -2.053 -1.913 2.947 -2.672 -1.914 -1.722 -1.063 3.923" Properties=species:S:1:pos:R:3 pbc="T T T"
H -0.347 -2.833 0.503
H -1.915 -3.866 -0.466
H -1.024 -2.083 -1.514
H -3.544 -2.527 0.648
H -1.910 -1.449 1.650
H -0.946 -3.422 -2.600
H -2.207 -1.675 -0.035
H 0.681 -2.341 -1.589
Er -0.188 -0.482 -0.017
Fe -1.967 -2.954 0.950
Fe -0.373 -3.503 -1.043
```

***

No. 10
# NaBiAs2Br

Crystalline NaBiAs2Br at its relaxed geometry (PBE, Alexandria).

## Properties
Space group: P4/mmm (123)
Fermi-level density of states, states/eV per cell: 3.02
ΔE to the lowest computed polymorph, kJ/mol of atoms: 0.00
Formation energy (no corrections), eV/atom: 0.232

Cell and atoms, written as extended XYZ:
```
5
Lattice="5.499 0.000 0.000 0.000 5.499 0.000 0.000 0.000 6.076" Properties=species:S:1:pos:R:3 pbc="T T T"
As 2.749 0.000 0.000
As 0.000 2.749 0.000
Na 2.749 2.749 3.038
Bi 0.000 0.000 0.000
Br 0.000 0.000 3.038
```

***

No. 11
# PmHfSc2

Crystalline PmHfSc2 at its relaxed geometry (PBE, Alexandria).

## Properties
ΔH_f (0 K), eV per atom: 0.193
Space group: Fm-3m (225)
Fermi-level density of states, states/eV per cell: 6.72
ΔE to the lowest computed polymorph, kJ/mol of atoms: 10.25

Cell and atoms, written as extended XYZ:
```
4
Lattice="5.246 0.000 0.000 2.623 4.543 0.000 2.623 1.514 4.283" Properties=species:S:1:pos:R:3 pbc="T T T"
Pm 5.246 3.029 2.142
Hf 0.000 0.000 0.000
Sc 2.623 1.514 1.071
Sc 7.869 4.543 3.213
```

***

No. 12
# AlVCoMo

Crystalline AlVCoMo at its relaxed geometry (PBE, Alexandria).

## Properties
ΔH_f (0 K), eV per atom: -0.154
Space group: F-43m (216)
Fermi-level density of states, states/eV per cell: 4.51

Cell and atoms, written as extended XYZ:
```
4
Lattice="4.236 0.000 0.000 2.118 3.669 0.000 2.118 1.223 3.459" Properties=species:S:1:pos:R:3 pbc="T T T"
Co 4.236 2.446 1.729
V 6.354 3.669 2.594
Mo 0.000 0.000 0.000
Al 2.118 1.223 0.865
```

***

No. 13
# YMn4Os

Crystalline YMn4Os at its relaxed geometry (PBE, Alexandria).

## Properties
ΔH_f (0 K), eV per atom: 0.212
Space group: F-43m (216)
Fermi-level density of states, states/eV per cell: 8.85

Cell and atoms, written as extended XYZ:
```
6
Lattice="0.000 3.445 3.445 3.445 0.000 3.445 3.445 3.445 0.000" Properties=species:S:1:pos:R:3 pbc="T T T"
Y 0.000 0.000 0.000
Mn 2.570 4.320 4.320
Mn 4.320 2.570 4.320
Mn 2.570 2.570 2.570
Mn 4.320 4.320 2.570
Os 5.168 5.168 5.168
```

***

No. 14
# LiCeAsO

Crystalline LiCeAsO at its relaxed geometry (PBE, Alexandria).

## Properties
Space group: P6_3mc (186)
Formation energy (no corrections), eV/atom: -1.876

Cell and atoms, written as extended XYZ:
```
8
Lattice="3.962 0.000 0.000 -1.981 3.431 0.000 0.000 0.000 10.584" Properties=species:S:1:pos:R:3 pbc="T T T"
Li 0.000 0.000 1.675
Li 0.000 0.000 6.967
Ce 0.000 2.287 9.803
Ce 1.981 1.144 4.511
O 0.000 0.000 5.079
O 0.000 0.000 10.371
As 0.000 2.287 2.625
As 1.981 1.144 7.917
```

***

No. 15
# CaY2Ho

Crystalline CaY2Ho at its relaxed geometry (PBE, Alexandria).

## Properties
ΔH_f (0 K), eV per atom: 0.166
Space group: Fm-3m (225)
Fermi-level density of states, states/eV per cell: 8.54
ΔE to the lowest computed polymorph, kJ/mol of atoms: 14.34

Cell and atoms, written as extended XYZ:
```
4
Lattice="5.757 0.000 0.000 2.879 4.986 0.000 2.879 1.662 4.701" Properties=species:S:1:pos:R:3 pbc="T T T"
Y 2.879 1.662 1.175
Y 8.636 4.986 3.525
Ho 0.000 0.000 0.000
Ca 5.757 3.324 2.350
```

***

No. 16
# NdZnBiPd

Crystalline NdZnBiPd at its relaxed geometry (PBE, Alexandria).

## Properties
ΔH_f (0 K), eV per atom: -0.511
Space group: F-43m (216)
Fermi-level density of states, states/eV per cell: 1.14

Cell and atoms, written as extended XYZ:
```
4
Lattice="-3.598 3.492 -0.626 -1.350 1.430 -4.654 -4.514 -1.326 -1.841" Properties=species:S:1:pos:R:3 pbc="T T T"
Nd -2.365 0.899 -1.780
Pd -4.731 1.798 -3.561
Zn 0.000 0.000 0.000
Bi -7.096 2.697 -5.341
```

***

No. 17
# AlRuC3

Crystalline AlRuC3 at its relaxed geometry (PBE, Alexandria).

## Properties
ΔH_f (0 K), eV per atom: 1.995
Space group: Pm-3m (221)
Fermi-level density of states, states/eV per cell: 3.54
ΔE to the lowest computed polymorph, kJ/mol of atoms: 0.00

Cell and atoms, written as extended XYZ:
```
5
Lattice="3.985 0.000 0.000 0.000 3.985 0.000 0.000 0.000 3.985" Properties=species:S:1:pos:R:3 pbc="T T T"
C 0.000 0.000 1.992
C 1.992 0.000 0.000
C 0.000 1.992 0.000
Ru 0.000 0.000 0.000
Al 1.992 1.992 1.992
```

***

No. 18
# RbAlGe

Crystalline RbAlGe at its relaxed geometry (PBE, Alexandria).

## Properties
ΔH_f (0 K), eV per atom: 0.268
Space group: P-6m2 (187)
Fermi-level density of states, states/eV per cell: 0.46

Cell and atoms, written as extended XYZ:
```
6
Lattice="4.278 -2.470 0.000 0.000 4.940 0.000 0.000 0.000 7.684" Properties=species:S:1:pos:R:3 pbc="T T T"
Rb 2.852 0.000 3.842
Rb 2.852 0.000 0.000
Ge 0.000 0.000 2.299
Ge 0.000 0.000 5.384
Al 1.426 2.470 6.156
Al 1.426 2.470 1.528
```

***

No. 19
# TcW2Au

Crystalline TcW2Au at its relaxed geometry (PBE, Alexandria).

## Properties
ΔH_f (0 K), eV per atom: 0.356
Space group: R3m (160)
Fermi-level density of states, states/eV per cell: 5.98
ΔE to the lowest computed polymorph, kJ/mol of atoms: 13.37

Cell and atoms, written as extended XYZ:
```
4
Lattice="9.387 -0.022 -0.013 8.958 2.807 -0.013 8.958 1.360 2.455" Properties=species:S:1:pos:R:3 pbc="T T T"
Au 13.629 2.069 1.213
Tc 20.333 3.087 1.809
W 6.891 1.046 0.613
W 0.101 0.015 0.009
```

***

No. 20
# Sr2TeI

Crystalline Sr2TeI at its relaxed geometry (PBE, Alexandria).

## Properties
Space group: Pmmn (59)
Fermi-level density of states, states/eV per cell: 5.26
ΔE to the lowest computed polymorph, kJ/mol of atoms: 6.18
Formation energy (no corrections), eV/atom: -1.360

Cell and atoms, written as extended XYZ:
```
8
Lattice="-3.869 -2.437 -0.174 4.069 -6.155 -4.256 1.875 -3.463 6.800" Properties=species:S:1:pos:R:3 pbc="T T T"
Te 3.795 -8.384 2.967
Te -1.720 -3.671 -0.597
Sr 1.491 -4.474 -0.558
Sr 2.586 -10.607 0.835
Sr 0.585 -7.581 2.928
Sr -0.510 -1.448 1.535
I 0.936 -7.895 -0.472
I 1.139 -4.159 2.843
```

***

No. 21
# Zr3MnCd

Crystalline Zr3MnCd at its relaxed geometry (PBE, Alexandria).

## Properties
ΔH_f (0 K), eV per atom: 0.283
Space group: Pm-3m (221)
Fermi-level density of states, states/eV per cell: 10.59
ΔE to the lowest computed polymorph, kJ/mol of atoms: 0.00

Cell and atoms, written as extended XYZ:
```
5
Lattice="-2.483 0.781 4.092 -3.834 -2.291 -1.889 1.629 -4.202 1.790" Properties=species:S:1:pos:R:3 pbc="T T T"
Mn 0.000 0.000 0.000
Zr -1.241 0.390 2.046
Zr 0.814 -2.101 0.895
Zr -1.917 -1.145 -0.945
Cd -2.344 -2.856 1.996
```

***

No. 22
# GaNCl3

Crystalline GaNCl3 at its relaxed geometry (PBE, Alexandria).

## Properties
Space group: Pm-3m (221)
Fermi-level density of states, states/eV per cell: 2.70
ΔE to the lowest computed polymorph, kJ/mol of atoms: 0.00
Formation energy (no corrections), eV/atom: 0.450

Cell and atoms, written as extended XYZ:
```
5
Lattice="-2.726 0.885 -3.890 -3.916 0.309 2.814 0.764 4.740 0.543" Properties=species:S:1:pos:R:3 pbc="T T T"
N -2.939 2.967 -0.266
Cl 0.382 2.370 0.272
Cl -1.958 0.154 1.407
Cl -1.363 0.443 -1.945
Ga 0.000 0.000 0.000
```

***

No. 23
# Li3Sb4Se8

Crystalline Li3Sb4Se8 at its relaxed geometry (PBE, Alexandria).

## Properties
Space group: C2/m (12)
Fermi-level density of states, states/eV per cell: 5.43
ΔE to the lowest computed polymorph, kJ/mol of atoms: 12.01
Formation energy (no corrections), eV/atom: -0.387

Cell and atoms, written as extended XYZ:
```
15
Lattice="7.154 0.000 3.862 2.537 6.690 3.862 0.182 0.125 8.234" Properties=species:S:1:pos:R:3 pbc="T T T"
Sb 4.936 3.408 7.979
Sb 3.447 2.380 10.735
Sb 6.426 4.436 5.223
Sb 0.000 0.000 0.000
Li 3.668 0.063 6.048
Li 0.091 0.063 4.117
Li 1.359 3.408 6.048
Se 7.318 5.052 7.787
Se 3.803 5.059 10.079
Se 7.799 5.384 11.234
Se 6.078 1.763 10.079
Se 2.074 1.432 4.724
Se 3.795 5.053 5.879
Se 2.554 1.764 8.172
Se 6.070 1.757 5.879
```

***

No. 24
# Be17FeTc

Crystalline Be17FeTc at its relaxed geometry (PBE, Alexandria).

## Properties
ΔH_f (0 K), eV per atom: -0.119
Space group: R3m (160)
Fermi-level density of states, states/eV per cell: 6.54

Cell and atoms, written as extended XYZ:
```
19
Lattice="-5.148 1.231 -1.240 -2.380 -3.560 3.350 -0.894 3.432 4.121" Properties=species:S:1:pos:R:3 pbc="T T T"
Be -4.316 2.447 2.421
Be -2.971 0.118 4.652
Be -3.219 -2.078 1.953
Be -2.194 2.740 2.484
Be -1.935 -1.414 3.571
Be -7.571 0.992 5.602
Be -0.874 0.114 0.647
Be -5.039 -0.951 2.047
Be -7.209 2.853 4.550
Be -7.941 -0.594 4.170
Be -3.381 2.068 4.198
Be -5.467 0.989 1.570
Be -4.110 -1.360 3.820
Be -4.291 -0.223 0.175
Be -1.359 1.293 3.869
Be -3.842 1.887 0.408
Be -5.844 0.491 6.813
Fe -2.868 0.376 2.122
Tc -5.575 0.730 4.125
```

***

No. 25
# NdMg4Au2

Crystalline NdMg4Au2 at its relaxed geometry (PBE, Alexandria).

## Properties
ΔH_f (0 K), eV per atom: -0.511
Space group: P4_2/mnm (136)
Fermi-level density of states, states/eV per cell: 7.14

Cell and atoms, written as extended XYZ:
```
14
Lattice="4.421 0.000 0.000 0.000 8.388 0.000 0.000 0.000 8.388" Properties=species:S:1:pos:R:3 pbc="T T T"
Mg 0.000 7.656 5.568
Mg 0.000 5.568 7.656
Mg 0.000 2.819 0.732
Mg 2.210 4.926 1.374
Mg 0.000 0.732 2.819
Mg 2.210 1.374 4.926
Mg 2.210 7.013 3.462
Mg 2.210 3.462 7.013
Nd 2.210 0.000 0.000
Nd 0.000 4.194 4.194
Au 2.210 2.375 2.375
Au 2.210 6.012 6.012
Au 0.000 1.819 6.569
Au 0.000 6.569 1.819
```